The following is a DFT calculation (PBE) of a geometry-optimized Ce2Fe5Si3 structure.

The structure belongs to space group Cmc2_1 (No. 36); the cell edges are 4.0094, 24.0885 and 6.0379 Å and the angles 90.00°, 90.00° and 90.00°. Symmetry generates all atoms from Ce at (0.0000, 0.0120, 0.0000), Ce at (0.0000, 0.3205, 0.9885), Fe at (0.0000, 0.1070, 0.6502), Fe at (0.0000, 0.2055, 0.7748), Fe at (0.0000, 0.2103, 0.1753), Fe at (0.0000, 0.3697, 0.4958), Fe at (0.0000, 0.4366, 0.8108), Si at (0.0000, 0.1153, 0.2354), Si at (0.0000, 0.2729, 0.4797) and Si at (0.0000, 0.4365, 0.2077).

The calculation puts the energy at -7.36 eV per atom.